No. 1
Here is K2TlWBr8 after structural relaxation from Alexandria. Energies are from PBE.

Properties
VASP energy	-3.494	eV per atom
symmetry	No. 2
density of states at the Fermi level	5.60	states/eV/cell
raw formation energy	-0.919	eV/atom
calculated density	3.97	g/cm3

Lattice parameters (Å, degrees): 8.3973 6.1860 9.2303 80.81 82.49 98.16
Site moments in Bohr magnetons follow the coordinates.
Positions (direct):
Br: 0.3650 0.2545 0.3896  -0.01
Br: 0.1510 0.8210 0.8094  0.00
Br: 0.6350 0.7455 0.6104  -0.01
Br: 0.9137 0.2565 0.7933  0.00
Br: 0.2490 0.2779 0.9914  0.00
Br: 0.7510 0.7221 0.0086  0.00
Br: 0.0863 0.7435 0.2067  0.00
Br: 0.8490 0.1790 0.1906  0.00
K: 0.5160 0.2034 0.6945  0.00
K: 0.4840 0.7966 0.3055  0.00
Tl: 0.0000 0.0000 0.5000  -0.01
W: 0.0000 0.0000 0.0000  0.84

=====

No. 2
Here is AgHgSb2Te after structural relaxation from Alexandria. Energies are from PBE.

Properties
VASP energy	-2.310	eV per atom
symmetry	No. 123
density of states at the Fermi level	6.51	states/eV/cell
raw formation energy	0.598	eV/atom
calculated density	6.95	g/cm3

Lattice parameters (Å, degrees): 5.4450 5.4450 5.4772 90.00 90.00 90.00
Positions (direct):
Ag: 0.0000 0.0000 0.0000
Sb: 0.0000 0.5000 0.0000
Sb: 0.5000 0.0000 0.0000
Hg: 0.5000 0.5000 0.5000
Te: 0.0000 0.0000 0.5000